# 1
# NbSbCl3

A relaxed structure of NbSbCl3 (PBE, Alexandria).

```
data_NbSbCl3
_cell_length_a 5.120
_cell_length_b 5.120
_cell_length_c 5.120
_cell_angle_alpha 90.00
_cell_angle_beta 90.00
_cell_angle_gamma 90.00
_symmetry_space_group_name_H-M 'P m -3 m'
_symmetry_Int_Tables_number 221
_symmetry_space_group_name_Hall '-P 4 2 3'
loop_
_atom_site_label
_atom_site_fract_x
_atom_site_fract_y
_atom_site_fract_z
Nb1 0.000 0.000 0.000
Sb1 0.500 0.500 0.500
Cl1 0.000 0.000 0.500
```

Properties
VASP energy in eV/atom: -4.113
M_tot in μB per formula unit: 5.000
Distance to the lowest polymorph of the same formula in eV/f.u.: 0.00
Uncorrected formation energy in meV per atom: -167
D(E_F) in states/eV/atom: 0.8257

***

# 2
# NbSb3Cl

A relaxed structure of NbSb3Cl (PBE, Alexandria).

```
data_NbSb3Cl
_cell_length_a 5.329
_cell_length_b 5.329
_cell_length_c 5.329
_cell_angle_alpha 90.00
_cell_angle_beta 90.00
_cell_angle_gamma 90.00
_symmetry_space_group_name_H-M 'P m -3 m'
_symmetry_Int_Tables_number 221
_symmetry_space_group_name_Hall '-P 4 2 3'
loop_
_atom_site_label
_atom_site_fract_x
_atom_site_fract_y
_atom_site_fract_z
Nb1 0.000 0.000 0.000
Sb1 0.000 0.000 0.500
Cl1 0.500 0.500 0.500
```

Properties
VASP energy in eV/atom: -4.768
M_tot in μB per formula unit: 0.000
Distance to the lowest polymorph of the same formula in eV/f.u.: 0.00
Uncorrected formation energy in meV per atom: 89
D(E_F) in states/eV/atom: 0.7939

***

# 3
# NbSb3Cl

A relaxed structure of NbSb3Cl (PBE, Alexandria).

```
data_NbSb3Cl
_cell_length_a 5.169
_cell_length_b 5.169
_cell_length_c 5.169
_cell_angle_alpha 90.00
_cell_angle_beta 90.00
_cell_angle_gamma 90.00
_symmetry_space_group_name_H-M 'P m -3 m'
_symmetry_Int_Tables_number 221
_symmetry_space_group_name_Hall '-P 4 2 3'
loop_
_atom_site_label
_atom_site_fract_x
_atom_site_fract_y
_atom_site_fract_z
Nb1 0.000 0.000 0.000
Sb1 0.000 0.500 0.500
Cl1 0.500 0.500 0.500
```

Properties
VASP energy in eV/atom: -3.796
M_tot in μB per formula unit: 2.200
Distance to the lowest polymorph of the same formula in eV/f.u.: 4.86
Uncorrected formation energy in meV per atom: 1061
D(E_F) in states/eV/atom: 0.7559

***

# 4
# NbSbCl3

A relaxed structure of NbSbCl3 (PBE, Alexandria).

```
data_NbSbCl3
_cell_length_a 5.394
_cell_length_b 5.394
_cell_length_c 5.394
_cell_angle_alpha 90.00
_cell_angle_beta 90.00
_cell_angle_gamma 90.00
_symmetry_space_group_name_H-M 'P m -3 m'
_symmetry_Int_Tables_number 221
_symmetry_space_group_name_Hall '-P 4 2 3'
loop_
_atom_site_label
_atom_site_fract_x
_atom_site_fract_y
_atom_site_fract_z
Nb1 0.000 0.000 0.000
Sb1 0.500 0.500 0.500
Cl1 0.000 0.500 0.500
```

Properties
VASP energy in eV/atom: -3.408
M_tot in μB per formula unit: 4.316
Distance to the lowest polymorph of the same formula in eV/f.u.: 3.53
Uncorrected formation energy in meV per atom: 539
D(E_F) in states/eV/atom: 2.2424

***

Question: Which value of distance to the lowest polymorph of the same formula does entry 3 give?
Answer: 4.86 eV/f.u.